The following is a PBE calculation of a geometry-optimized PmSmGdLu structure, from Alexandria.

Structure (extended XYZ):
```
4
Lattice="0.000 4.034 4.034 4.034 0.000 4.034 4.034 4.034 0.000" Properties=species:S:1:pos:R:3 pbc="T T T"
Pm 0.000 0.000 0.000
Sm 6.051 6.051 6.051
Gd 2.017 2.017 2.017
Lu 4.034 4.034 4.034
```

Results
The density is 7.937 g cm⁻³. Its total energy is -0.2534 Ha/atom. The value obtained for the total magnetic moment is 8.84 μB per formula unit. Its formation energy is 0.5 eV per formula unit.